The following is a PBE calculation of a geometry-optimized GdTm2Hg structure, from OQMD via LeMat-Bulk.

Calculated values
The value obtained for the formation energy is -10.6 kJ per mole of atoms. As for the energy above the most stable polymorph in this dataset: 0.055 eV/atom.

a b c (Å): 5.3938 7.2153 11.3862
angles (deg): 90.00 90.00 90.00
With the nearest neighbours (Å) after each atom.
Positions (direct):
1 Gd 0.0000 0.0000 0.0000  8 Tm 3.32-3.61, 4 Hg 3.33-3.41
2 Gd 0.0000 0.5000 0.5000  8 Tm 3.32-3.61, 4 Hg 3.33-3.41
3 Gd 0.5000 0.0000 0.3131  8 Tm 3.30-3.61, 4 Hg 3.36
4 Gd 0.5000 0.5000 0.8131  8 Tm 3.30-3.61, 4 Hg 3.36
5 Tm 0.0000 0.0000 0.5065  4 Hg 3.22-3.52, 4 Tm 3.34, 2 Gd 3.48
6 Tm 0.0000 0.5000 0.0065  4 Hg 3.22-3.52, 4 Tm 3.34, 2 Gd 3.48
7 Tm 0.5000 0.0000 0.8119  4 Hg 3.31, 4 Tm 3.32-3.42, 4 Gd 3.44-3.61
8 Tm 0.5000 0.2458 0.0686  4 Gd 3.30-3.44, 6 Tm 3.32-3.67, 2 Hg 3.35
9 Tm 0.5000 0.2542 0.5686  4 Gd 3.30-3.44, 6 Tm 3.32-3.67, 2 Hg 3.35
10 Tm 0.5000 0.5000 0.3119  4 Hg 3.31, 4 Tm 3.32-3.42, 4 Gd 3.44-3.61
11 Tm 0.5000 0.7458 0.5686  4 Gd 3.30-3.44, 6 Tm 3.32-3.67, 2 Hg 3.35
12 Tm 0.5000 0.7542 0.0686  4 Gd 3.30-3.44, 6 Tm 3.32-3.67, 2 Hg 3.35
13 Hg 0.0000 0.2439 0.7434  6 Tm 3.22-3.52, 4 Gd 3.33-3.41, 1 Hg 3.52
14 Hg 0.0000 0.2561 0.2434  6 Tm 3.22-3.52, 4 Gd 3.33-3.41, 1 Hg 3.52
15 Hg 0.0000 0.7439 0.2434  6 Tm 3.22-3.52, 4 Gd 3.33-3.41, 1 Hg 3.52
16 Hg 0.0000 0.7561 0.7434  6 Tm 3.22-3.52, 4 Gd 3.33-3.41, 1 Hg 3.52

---

The following is a PBE calculation of a geometry-optimized GdTmHg structure, from OQMD via LeMat-Bulk.

Calculated values
The value obtained for the formation energy is -11.1 kJ per mole of atoms. As for the energy above the most stable polymorph in this dataset: 0.000 eV/atom.

a b c (Å): 7.1960 7.1960 7.1960
angles (deg): 90.00 90.00 90.00
With the nearest neighbours (Å) after each atom.
Positions (direct):
1 Gd 0.0000 0.0000 0.0000  4 Hg 3.12
2 Gd 0.0000 0.5000 0.5000  4 Hg 3.12
3 Gd 0.5000 0.0000 0.5000  4 Hg 3.12
4 Gd 0.5000 0.5000 0.0000  4 Hg 3.12
5 Tm 0.0000 0.0000 0.5000  4 Hg 3.12
6 Tm 0.0000 0.5000 0.0000  4 Hg 3.12
7 Tm 0.5000 0.0000 0.0000  4 Hg 3.12
8 Tm 0.5000 0.5000 0.5000  4 Hg 3.12
9 Hg 0.2500 0.2500 0.2500  4 Tm 3.12, 4 Gd 3.12
10 Hg 0.2500 0.7500 0.7500  4 Gd 3.12, 4 Tm 3.12
11 Hg 0.7500 0.2500 0.7500  4 Gd 3.12, 4 Tm 3.12
12 Hg 0.7500 0.7500 0.2500  4 Gd 3.12, 4 Tm 3.12

---

The following is a PBE calculation of a geometry-optimized Gd2Tm5Hg structure, from OQMD via LeMat-Bulk.

Calculated values
The value obtained for the formation energy is -3.8 kJ per mole of atoms.

a b c (Å): 5.4824 7.0056 12.1278
angles (deg): 90.00 90.00 90.00
With the nearest neighbours (Å) after each atom.
Positions (direct):
1 Gd 0.0000 0.0000 0.0000  2 Hg 3.40, 10 Tm 3.43-3.57
2 Gd 0.0000 0.5000 0.5000  2 Hg 3.40, 10 Tm 3.43-3.57
3 Gd 0.5000 0.0000 0.3431  10 Tm 3.38-3.59, 2 Hg 3.50
4 Gd 0.5000 0.5000 0.8431  10 Tm 3.38-3.59, 2 Hg 3.50
5 Tm 0.0000 0.0000 0.5059  8 Tm 3.37-3.52, 4 Gd 3.38-3.50
6 Tm 0.0000 0.2469 0.7556  2 Hg 3.38, 6 Tm 3.42-3.55, 4 Gd 3.43-3.57
7 Tm 0.0000 0.2531 0.2556  2 Hg 3.38, 6 Tm 3.42-3.55, 4 Gd 3.43-3.57
8 Tm 0.0000 0.5000 0.0059  8 Tm 3.37-3.52, 4 Gd 3.38-3.50
9 Tm 0.0000 0.7469 0.2556  2 Hg 3.38, 6 Tm 3.42-3.55, 4 Gd 3.43-3.57
10 Tm 0.0000 0.7531 0.7556  2 Hg 3.38, 6 Tm 3.42-3.55, 4 Gd 3.43-3.57
11 Tm 0.5000 0.2426 0.5872  6 Tm 3.37-3.61, 4 Gd 3.41-3.59, 2 Hg 3.44-3.56
12 Tm 0.5000 0.2574 0.0872  6 Tm 3.37-3.61, 4 Gd 3.41-3.59, 2 Hg 3.44-3.56
13 Tm 0.5000 0.7426 0.0872  6 Tm 3.37-3.61, 4 Gd 3.41-3.59, 2 Hg 3.44-3.56
14 Tm 0.5000 0.7574 0.5872  6 Tm 3.37-3.61, 4 Gd 3.41-3.59, 2 Hg 3.44-3.56
15 Hg 0.5000 0.0000 0.8342  8 Tm 3.38-3.56, 4 Gd 3.40-3.50
16 Hg 0.5000 0.5000 0.3342  8 Tm 3.38-3.56, 4 Gd 3.40-3.50

---

The following is a PBE calculation of a geometry-optimized GdTm2Hg structure, from OQMD via LeMat-Bulk.

Calculated values
The value obtained for the formation energy is -13.8 kJ per mole of atoms. As for the energy above the most stable polymorph in this dataset: 0.022 eV/atom.

a b c (Å): 5.5778 11.2895 7.0684
angles (deg): 90.00 90.00 90.00
With the nearest neighbours (Å) after each atom.
Positions (direct):
1 Gd 0.2500 0.1179 0.0000  5 Tm 3.21-3.52, 4 Hg 3.31-3.34
2 Gd 0.2500 0.6179 0.5000  5 Tm 3.21-3.52, 4 Hg 3.31-3.34
3 Gd 0.7500 0.3821 0.5000  5 Tm 3.21-3.52, 4 Hg 3.31-3.34
4 Gd 0.7500 0.8821 0.0000  5 Tm 3.21-3.52, 4 Hg 3.31-3.34
5 Tm 0.2500 0.1571 0.5225  3 Hg 3.07-3.23, 4 Tm 3.29-3.38, 1 Gd 3.40
6 Tm 0.2500 0.4023 0.7959  4 Gd 3.21-3.52, 1 Hg 3.22, 6 Tm 3.29-3.56
7 Tm 0.2500 0.6571 0.0225  3 Hg 3.07-3.23, 4 Tm 3.29-3.38, 1 Gd 3.40
8 Tm 0.2500 0.9023 0.2959  4 Gd 3.21-3.52, 1 Hg 3.22, 6 Tm 3.29-3.56
9 Tm 0.7500 0.0977 0.2959  4 Gd 3.21-3.52, 1 Hg 3.22, 6 Tm 3.29-3.56
10 Tm 0.7500 0.3429 0.0225  3 Hg 3.07-3.23, 4 Tm 3.29-3.38, 1 Gd 3.40
11 Tm 0.7500 0.5977 0.7959  4 Gd 3.21-3.52, 1 Hg 3.22, 6 Tm 3.29-3.56
12 Tm 0.7500 0.8429 0.5225  3 Hg 3.07-3.23, 4 Tm 3.29-3.38, 1 Gd 3.40
13 Hg 0.2500 0.3677 0.2488  4 Tm 3.07-3.23, 4 Gd 3.31-3.34
14 Hg 0.2500 0.8677 0.7488  4 Tm 3.07-3.23, 4 Gd 3.31-3.34
15 Hg 0.7500 0.1323 0.7488  4 Tm 3.07-3.23, 4 Gd 3.31-3.34
16 Hg 0.7500 0.6323 0.2488  4 Tm 3.07-3.23, 4 Gd 3.31-3.34

---

The following is a PBE calculation of a geometry-optimized Gd2Tm3Hg3 structure, from OQMD via LeMat-Bulk.

Calculated values
The value obtained for the formation energy is -15.9 kJ per mole of atoms. As for the energy above the most stable polymorph in this dataset: 0.095 eV/atom.

a b c (Å): 6.9530 6.9530 5.1421
angles (deg): 90.00 90.00 120.00
With the nearest neighbours (Å) after each atom.
Positions (direct):
1 Gd 0.0000 0.0000 0.0000  6 Tm 3.29, 6 Hg 3.48
2 Gd 0.3333 0.6667 0.5000  6 Hg 3.30, 6 Tm 3.48
3 Tm 0.3418 0.1709 0.5000  4 Hg 3.23, 4 Gd 3.29-3.48, 4 Tm 3.39-3.57
4 Tm 0.8291 0.1709 0.5000  4 Hg 3.23, 4 Gd 3.29-3.48, 4 Tm 3.39-3.57
5 Tm 0.8291 0.6582 0.5000  4 Hg 3.23, 4 Gd 3.29-3.48, 4 Tm 3.39-3.57
6 Hg 0.5047 0.0094 0.0000  4 Tm 3.23, 4 Gd 3.30-3.48, 4 Hg 3.38-3.57
7 Hg 0.5047 0.4953 0.0000  4 Tm 3.23, 4 Gd 3.30-3.48, 4 Hg 3.38-3.57
8 Hg 0.9906 0.4953 0.0000  4 Tm 3.23, 4 Gd 3.30-3.48, 4 Hg 3.38-3.57

---

The following is a PBE calculation of a geometry-optimized Gd2Tm3Hg3 structure, from OQMD via LeMat-Bulk.

Calculated values
The value obtained for the formation energy is -18.5 kJ per mole of atoms. As for the energy above the most stable polymorph in this dataset: 0.068 eV/atom.

a b c (Å): 5.5659 7.2748 10.6916
angles (deg): 90.00 90.00 90.00
With the nearest neighbours (Å) after each atom.
Positions (direct):
1 Gd 0.0000 0.0000 0.0000  6 Tm 3.22-3.45, 4 Hg 3.32
2 Gd 0.0000 0.5000 0.5000  6 Tm 3.22-3.45, 4 Hg 3.32
3 Gd 0.5000 0.0000 0.3632  6 Hg 3.15-3.30
4 Gd 0.5000 0.5000 0.8632  6 Hg 3.15-3.30
5 Tm 0.0000 0.2438 0.7452  4 Hg 3.15-3.31, 2 Gd 3.22-3.25, 2 Tm 3.37
6 Tm 0.0000 0.2562 0.2452  4 Hg 3.15-3.31, 2 Gd 3.22-3.25, 2 Tm 3.37
7 Tm 0.0000 0.7438 0.2452  4 Hg 3.15-3.31, 2 Gd 3.22-3.25, 2 Tm 3.37
8 Tm 0.0000 0.7562 0.7452  4 Hg 3.15-3.31, 2 Gd 3.22-3.25, 2 Tm 3.37
9 Tm 0.5000 0.0000 0.8086  4 Hg 3.14-3.38, 4 Tm 3.37, 2 Gd 3.45
10 Tm 0.5000 0.5000 0.3086  4 Hg 3.14-3.38, 4 Tm 3.37, 2 Gd 3.45
11 Hg 0.0000 0.0000 0.5012  2 Gd 3.15, 4 Tm 3.15-3.31
12 Hg 0.0000 0.5000 0.0012  2 Gd 3.15, 4 Tm 3.15-3.31
13 Hg 0.5000 0.2116 0.0902  1 Hg 3.08, 4 Tm 3.14-3.38, 4 Gd 3.21-3.32
14 Hg 0.5000 0.2884 0.5902  1 Hg 3.08, 4 Tm 3.14-3.38, 4 Gd 3.21-3.32
15 Hg 0.5000 0.7116 0.5902  1 Hg 3.08, 4 Tm 3.14-3.38, 4 Gd 3.21-3.32
16 Hg 0.5000 0.7884 0.0902  1 Hg 3.08, 4 Tm 3.14-3.38, 4 Gd 3.21-3.32